## 1
Compound: LaMoIr2
Source: the Alexandria database
Functional: GGA-PBE
Structure: optimized geometry

a b c (Å): 5.0870 5.0870 5.2825
angles (deg): 97.85 97.85 34.14
Atoms (fractional coordinates):
La1 0.0000 0.0000 0.0000
Mo1 0.2140 0.2140 0.6349
Ir1 0.4890 0.4890 0.5087
Ir2 0.7596 0.7596 0.2461

Properties
The space group is No. 8. The calculation puts the volume at 18.985 A^3/atom.

---

## 2
Compound: LaMoIr2
Source: the Alexandria database
Functional: GGA-PBE
Structure: optimized geometry

a b c (Å): 4.3881 4.3881 3.9054
angles (deg): 90.00 90.00 90.00
Atoms (fractional coordinates):
La1 0.0000 0.0000 0.0000
Mo1 0.5000 0.5000 0.0000
Ir1 0.0000 0.5000 0.5000
Ir2 0.5000 0.0000 0.5000

Properties
The space group is No. 123. The calculation puts the volume at 18.799 A^3/atom.

---

Which is most stable, and by how much? 1, by 140 meV/atom.